Entry 1:
First-principles (PBE-GGA) data for crystalline CdHPd2 at its relaxed geometry, as listed in the Alexandria database.

Output
total magnetization	0.0	μB per formula unit
total DFT energy (no corrections)	-0.1415	Ha/atom
E above lowest polymorph	60	meV/atom

a = 2.9760 Å, b = 2.9760 Å, c = 20.5645 Å
α = 90.00°, β = 90.00°, γ = 120.00°
Space group R-3m (No. 166, hexagonal axes)
One atom of each set of equivalent atoms:
Cd: 0.0000 0.0000 0.0000 (multiplicity 3)
H: 0.0000 0.0000 0.5000 (multiplicity 3)
Pd: 0.0000 0.0000 0.2231 (multiplicity 6)

Entry 2:
First-principles (PBE-GGA) data for crystalline Sb3AsIr at its relaxed geometry, as listed in the Alexandria database.

Output
total magnetization	0.0	μB per formula unit
total DFT energy (no corrections)	-0.1415	Ha/atom
E above lowest polymorph	739	meV/atom
E_form (uncorrected)	1325.4	meV/atom

a = 5.1556 Å, b = 5.1556 Å, c = 5.1556 Å
α = 90.00°, β = 90.00°, γ = 90.00°
Space group Pm-3m (No. 221)
One atom of each set of equivalent atoms:
Sb: 0.0000 0.0000 0.5000 (multiplicity 3)
As: 0.0000 0.0000 0.0000 (multiplicity 1)
Ir: 0.5000 0.5000 0.5000 (multiplicity 1)

Repeat the first record exactly.
First-principles (PBE-GGA) data for crystalline CdHPd2 at its relaxed geometry, as listed in the Alexandria database.

Output
total magnetization	0.0	μB per formula unit
total DFT energy (no corrections)	-0.1415	Ha/atom
E above lowest polymorph	60	meV/atom

a = 2.9760 Å, b = 2.9760 Å, c = 20.5645 Å
α = 90.00°, β = 90.00°, γ = 120.00°
Space group R-3m (No. 166, hexagonal axes)
One atom of each set of equivalent atoms:
Cd: 0.0000 0.0000 0.0000 (multiplicity 3)
H: 0.0000 0.0000 0.5000 (multiplicity 3)
Pd: 0.0000 0.0000 0.2231 (multiplicity 6)